No. 1
Compound: MnInSi2
Source: the Alexandria database
Functional: PBE
Structure: optimized geometry

Properties
Formation energy from raw total energies = 0.1033 eV/atom
Space group = P4/mmm, No. 123

Geometry as POSCAR:
```
MnInSi2
1.0
-2.455 0.962 1.188
-0.449 -2.601 1.181
3.893 2.181 6.281
In Si Mn
1 2 1
direct
0.500 0.500 0.250 In
0.000 0.000 0.921 Si
0.000 0.000 0.579 Si
0.500 0.500 0.750 Mn
```

No. 2
Compound: Mg2MoRh
Source: the Alexandria database
Functional: PBE
Structure: optimized geometry

Properties
Space group = Fm-3m, No. 225
Relative energy among the computed polymorphs = 337 meV per atom

Geometry as POSCAR:
```
Mg2MoRh
1.0
0.000 3.216 3.216
3.216 0.000 3.216
3.216 3.216 0.000
Mg Mo Rh
2 1 1
direct
0.750 0.750 0.750 Mg
0.250 0.250 0.250 Mg
0.000 0.000 0.000 Mo
0.500 0.500 0.500 Rh
```

No. 3
Compound: EuZnCdPb
Source: the Alexandria database
Functional: PBE
Structure: optimized geometry

Properties
Space group = F-43m, No. 216

Geometry as POSCAR:
```
EuZnCdPb
1.0
5.263 0.000 0.000
2.632 4.558 0.000
2.632 1.519 4.297
Pb Eu Cd Zn
1 1 1 1
direct
0.500 0.500 0.500 Pb
0.750 0.750 0.750 Eu
0.250 0.250 0.250 Cd
0.000 0.000 0.000 Zn
```

Raw total energy? In order: -5.59 -5.10 -4.27 eV/atom.